1.
VASP calculation (PBE) on an optimized crystal structure of AlZn2S.

Calculated volume: 89.24 Å³/f.u.
Polymorph energy (0 for the lowest one): 0 meV/atom

Lattice parameters (Å, degrees): 6.1438 6.1438 9.4569 90.00 90.00 90.00
Last column: nearest neighbours and their distance in Å.
Space group I-42d (No. 122)
Unique sites:
Al 0.0000 0.0000 0.0000 x4  4 Zn 2.58
Zn 0.2221 0.2500 0.6250 x8  2 S 2.37, 2 Al 2.58
S 0.0000 0.0000 0.5000 x4  4 Zn 2.37

---

2.
VASP calculation (PBE) on an optimized crystal structure of TbCu2Ni.

Formation energy: -0.267 eV per atom
Calculated volume: 63.61 Å³/f.u.

Lattice parameters (Å, degrees): 4.0517 9.3083 6.7470 90.00 90.00 90.00
Last column: nearest neighbours and their distance in Å.
Space group Cmcm (No. 63)
Unique sites:
Tb 0.0000 0.0765 0.2500 x4  3 Ni 2.69-2.82, 6 Cu 2.96-2.97
Cu 0.0000 0.3627 0.0600 x8  3 Ni 2.50-2.52, 2 Cu 2.56-2.68
Ni 0.0000 0.2121 0.7500 x4  6 Cu 2.50-2.52, 1 Tb 2.69

---

3.
VASP calculation (PBE) on an optimized crystal structure of KIn2Si2.

Calculated volume: 126.47 Å³/f.u.
Polymorph energy (0 for the lowest one): 0 meV/atom

Lattice parameters (Å, degrees): 4.9677 4.9677 10.2497 90.00 90.00 90.00
Last column: nearest neighbours and their distance in Å.
Space group I4/mmm (No. 139)
Unique sites:
K 0.0000 0.0000 0.0000 x2  8 In 3.57, 10 Si 3.71-3.92
In 0.0000 0.5000 0.2500 x4  4 Si 2.83
Si 0.0000 0.0000 0.3826 x4  1 Si 2.41

---

4.
VASP calculation (PBE) on an optimized crystal structure of LiY2Sc.

Formation energy: 0.104 eV per atom
Calculated volume: 111.38 Å³/f.u.
Polymorph energy (0 for the lowest one): 26 meV/atom

Lattice parameters (Å, degrees): 3.4254 3.4254 32.8831 90.00 90.00 120.00
Last column: nearest neighbours and their distance in Å.
Space group R-3m (No. 166, hexagonal axes)
Unique sites:
Li 0.0000 0.0000 0.0000 x3  6 Y 3.40, 6 Li 3.43
Y 0.0000 0.0000 0.2492 x6  3 Sc 3.36, 3 Li 3.40, 6 Y 3.43
Sc 0.0000 0.0000 0.5000 x3  6 Y 3.36, 6 Sc 3.43

---

5.
VASP calculation (PBE) on an optimized crystal structure of Sm3Th.

Formation energy: 0.063 eV per atom
Calculated volume: 134.21 Å³/f.u.
Polymorph energy (0 for the lowest one): 35 meV/atom

Lattice parameters (Å, degrees): 3.6154 11.8137 6.2845 90.00 90.00 90.00
Last column: nearest neighbours and their distance in Å.
Space group Imm2 (No. 44)
Unique sites:
Sm 0.0000 0.0000 0.0000 x2  4 Th 3.57-3.68, 8 Sm 3.59-3.64
Sm 0.0000 0.2488 0.6730 x4  9 Sm 3.59-3.64, 3 Th 3.60-3.65
Th 0.0000 0.5000 0.0099 x2  10 Sm 3.57-3.68, 2 Th 3.62

---

6.
VASP calculation (PBE) on an optimized crystal structure of CeBi3Pb.

Formation energy: -0.329 eV per atom
Calculated volume: 159.77 Å³/f.u.

Lattice parameters (Å, degrees): 14.7416 6.4570 6.7140 90.00 90.00 90.00
Last column: nearest neighbours and their distance in Å.
Space group Pbcm (No. 57)
Unique sites:
Ce 0.1746 0.0007 0.2500 x4  9 Bi 3.26-3.60
Bi 0.0008 0.2500 0.0000 x4  4 Bi 3.23-3.36, 4 Ce 3.46-3.48
Bi 0.2130 0.5031 0.2500 x4  1 Bi 3.24, 4 Ce 3.26-3.40, 2 Pb 3.46
Bi 0.3978 0.7241 0.7500 x4  3 Bi 3.24-3.37, 4 Pb 3.50-3.61, 1 Ce 3.60
Pb 0.3861 0.2500 0.0000 x4  2 Pb 3.36, 6 Bi 3.46-3.61

---

7.
VASP calculation (PBE) on an optimized crystal structure of SrTb2Nd3Te6.

E_tot: -5.10 eV per atom
Calculated volume: 384.10 Å³/f.u.

Lattice parameters (Å, degrees): 19.6007 4.4686 9.0385 90.00 103.99 90.00
Last column: nearest neighbours and their distance in Å.
Space group C2/m (No. 12)
Unique sites:
Sr 0.0000 0.0000 0.0000 x2  6 Te 3.20-3.24
Tb 0.1698 0.5000 0.3406 x4  6 Te 3.08-3.19
Nd 0.0000 0.0000 0.5000 x2  6 Te 3.16-3.19
Nd 0.1619 0.5000 0.8185 x4  6 Te 3.16-3.28
Te 0.0059 0.5000 0.2560 x4  1 Tb 3.12, 3 Nd 3.16-3.19, 2 Sr 3.20
Te 0.1676 0.0000 0.5744 x4  3 Tb 3.08-3.09, 3 Nd 3.16-3.19
Te 0.1705 0.0000 0.0888 x4  3 Nd 3.19-3.28, 2 Tb 3.19, 1 Sr 3.24

---

8.
VASP calculation (PBE) on an optimized crystal structure of Li5Sn4.

Formation energy: -0.300 eV per atom
Calculated volume: 185.71 Å³/f.u.
Polymorph energy (0 for the lowest one): 4 meV/atom

Lattice parameters (Å, degrees): 9.9454 4.3137 9.1506 90.00 108.90 90.00
Last column: nearest neighbours and their distance in Å.
Space group C2/m (No. 12)
Unique sites:
Li 0.0000 0.0000 0.0000 x2  6 Sn 3.02, 6 Li 3.06-3.24
Li 0.1557 0.5000 0.8804 x4  6 Sn 2.93-3.13, 6 Li 3.06-3.24
Li 0.1669 0.5000 0.5502 x4  8 Sn 3.02-3.17, 4 Li 3.03-3.15
Sn 0.0072 0.0000 0.3320 x4  8 Li 3.00-3.17, 4 Sn 3.12-3.16
Sn 0.1753 0.5000 0.2064 x4  9 Li 2.93-3.17, 3 Sn 3.12-3.16

---

9.
VASP calculation (PBE) on an optimized crystal structure of CoOs2.

Formation energy: 0.126 eV per atom
Calculated volume: 39.66 Å³/f.u.
Polymorph energy (0 for the lowest one): 85 meV/atom

Lattice parameters (Å, degrees): 9.6291 2.7159 6.2338 90.00 103.35 90.00
Last column: nearest neighbours and their distance in Å.
Space group Cm (No. 8)
Unique sites:
Co 0.0000 0.0000 0.0000 x2  8 Os 2.59-2.65, 4 Co 2.72
Co 0.1701 0.5000 0.3384 x2  8 Os 2.56-2.68, 4 Co 2.72
Os 0.0575 0.0000 0.6099 x2  3 Co 2.59-2.62, 9 Os 2.62-2.72
Os 0.2207 0.5000 0.9533 x2  4 Co 2.56-2.64, 8 Os 2.65-2.72
Os 0.3356 0.0000 0.6717 x2  8 Os 2.62-2.72, 4 Co 2.65-2.68
Os 0.3914 0.0000 0.2741 x2  5 Co 2.59-2.63, 7 Os 2.65-2.72

---

10.
VASP calculation (PBE) on an optimized crystal structure of Pm2PrNd3Er6.

Formation energy: 0.014 eV per atom
Calculated volume: 390.57 Å³/f.u.

Lattice parameters (Å, degrees): 6.2393 10.8047 11.7712 90.00 100.14 90.00
Last column: nearest neighbours and their distance in Å.
Space group C2/m (No. 12)
Unique sites:
Pm 0.0000 0.1667 0.0000 x4  6 Er 3.56, 3 Pr 3.60, 3 Pm 3.60
Pr 0.0000 0.5000 0.0000 x2  6 Er 3.56-3.57, 6 Pm 3.60
Nd 0.0000 0.0000 0.5000 x2  6 Er 3.57, 6 Nd 3.60
Nd 0.0000 0.3333 0.5000 x4  6 Er 3.57, 6 Nd 3.60
Er 0.2498 0.0000 0.2498 x4  1 Pr 3.56, 2 Pm 3.56, 3 Nd 3.57, 6 Er 3.60-3.61
Er 0.2497 0.1668 0.7502 x8  2 Pm 3.56, 1 Pr 3.57, 3 Nd 3.57, 6 Er 3.60-3.61

---

11.
VASP calculation (PBE) on an optimized crystal structure of Ba7SbSe5.

E_tot: -4.45 eV per atom
Calculated volume: 517.53 Å³/f.u.

Lattice parameters (Å, degrees): 4.7737 15.5394 27.9064 90.00 90.00 90.00
Last column: nearest neighbours and their distance in Å.
Space group Cmcm (No. 63)
Unique sites:
Ba 0.0000 0.0421 0.2500 x4  2 Se 3.28, 2 Sb 3.49
Ba 0.0000 0.1361 0.5354 x8  6 Se 3.32-3.36
Ba 0.0000 0.3186 0.1768 x8  3 Se 3.23-3.35, 2 Sb 3.60
Ba 0.0000 0.4100 0.6077 x8  5 Se 3.31-3.34
Sb 0.0000 0.2943 0.7500 x4  6 Ba 3.49-3.60
Se 0.0000 0.0433 0.6425 x8  6 Ba 3.28-3.35
Se 0.0000 0.2270 0.0728 x8  6 Ba 3.23-3.36
Se 0.0000 0.5000 0.0000 x4  6 Ba 3.32-3.34

---

12.
VASP calculation (PBE) on an optimized crystal structure of KB.

Formation energy: 0.809 eV per atom
Calculated volume: 53.69 Å³/f.u.
Polymorph energy (0 for the lowest one): 563 meV/atom

Lattice parameters (Å, degrees): 3.1778 19.9229 5.0885 90.00 90.00 90.00
Last column: nearest neighbours and their distance in Å.
Space group Cmmm (No. 65)
Unique sites:
K 0.0000 0.0000 0.0000 x2  4 B 3.00, 2 K 3.18
K 0.0000 0.3415 0.5000 x4  7 B 3.14-3.50, 2 K 3.18
B 0.0000 0.2490 0.0000 x4  2 B 1.59
B 0.0000 0.5000 0.5000 x2  6 K 3.00-3.16, 2 B 3.18

---

13.
VASP calculation (PBE) on an optimized crystal structure of Ho4ThTl7.

Formation energy: -0.018 eV per atom
Calculated volume: 365.40 Å³/f.u.

Lattice parameters (Å, degrees): 13.1606 5.8510 11.3929 90.00 123.59 90.00
Last column: nearest neighbours and their distance in Å.
Space group C2/m (No. 12)
Unique sites:
Ho 0.0879 0.0000 0.2837 x4  8 Tl 3.11-3.46
Ho 0.2216 0.0000 0.8264 x4  8 Tl 3.13-3.48
Th 0.0000 0.5000 0.5000 x2  2 Tl 2.93
Tl 0.0000 0.0000 0.5000 x2  2 Th 2.93, 4 Ho 3.21-3.25
Tl 0.0813 0.5000 0.8317 x4  2 Tl 3.17-3.22, 5 Ho 3.27-3.48, 1 Th 3.31
Tl 0.1354 0.0000 0.0440 x4  5 Ho 3.12-3.35, 2 Tl 3.12-3.17
Tl 0.2094 0.5000 0.3961 x4  4 Ho 3.11-3.24, 2 Tl 3.22-3.32

---

14.
VASP calculation (PBE) on an optimized crystal structure of TiBiSb2I.

Calculated volume: 155.59 Å³/f.u.
Polymorph energy (0 for the lowest one): 0 meV/atom

Lattice parameters (Å, degrees): 5.4840 5.4840 5.1734 90.00 90.00 90.00
Last column: nearest neighbours and their distance in Å.
Space group P4/mmm (No. 123)
Unique sites:
Ti 0.0000 0.0000 0.0000 x1  2 I 2.59, 4 Sb 2.74
Bi 0.5000 0.5000 0.5000 x1  8 Sb 3.77, 4 I 3.88
Sb 0.0000 0.5000 0.0000 x2  2 Ti 2.74
I 0.0000 0.0000 0.5000 x1  2 Ti 2.59

---

15.
VASP calculation (PBE) on an optimized crystal structure of Ti5TlCl12.

E_tot: -4.84 eV per atom
Calculated volume: 447.77 Å³/f.u.

Lattice parameters (Å, degrees): 9.5389 9.6326 9.7462 90.00 90.00 90.00
Last column: nearest neighbours and their distance in Å.
Space group Immm (No. 71)
Unique sites:
Ti 0.0000 0.0000 0.0000 x2  4 Cl 2.44
Ti 0.0000 0.0000 0.3629 x4  6 Cl 2.47-2.55, 1 Ti 2.67
Ti 0.0000 0.3671 0.5000 x4  6 Cl 2.49-2.53, 1 Ti 2.56
Tl 0.0000 0.5000 0.0000 x2  12 Cl 3.57-3.69
Cl 0.0000 0.1770 0.1792 x8  2 Ti 2.44-2.47
Cl 0.1588 0.5000 0.3451 x8  2 Ti 2.49
Cl 0.1621 0.1589 0.5000 x8  3 Ti 2.53-2.55

---

16.
VASP calculation (PBE) on an optimized crystal structure of NdMgI.

E_tot: -3.16 eV per atom
Calculated volume: 110.88 Å³/f.u.

Lattice parameters (Å, degrees): 7.0560 4.0739 15.6126 90.00 98.78 90.00
Last column: nearest neighbours and their distance in Å.
Space group C2/m (No. 12)
Unique sites:
Nd 0.0912 0.0000 0.2765 x4  3 I 3.20, 3 Mg 3.38
Mg 0.1890 0.0000 0.5665 x4  3 Mg 3.12, 3 Nd 3.38
I 0.1231 0.5000 0.8642 x4  3 Nd 3.20

---

17.
VASP calculation (PBE) on an optimized crystal structure of ZnFe2Cl.

Calculated volume: 59.93 Å³/f.u.
Polymorph energy (0 for the lowest one): 511 meV/atom

Lattice parameters (Å, degrees): 3.7070 3.7070 4.3610 90.00 90.00 90.00
Last column: nearest neighbours and their distance in Å.
Space group P4/mmm (No. 123)
Unique sites:
Zn 0.0000 0.0000 0.0000 x1  4 Cl 2.62, 8 Fe 2.86
Fe 0.0000 0.5000 0.5000 x2  4 Fe 2.62, 4 Cl 2.86, 4 Zn 2.86
Cl 0.5000 0.5000 0.0000 x1  4 Zn 2.62, 8 Fe 2.86

---

18.
VASP calculation (PBE) on an optimized crystal structure of Pr5Dy3Er3.

Formation energy: 0.309 eV per atom
Calculated volume: 384.21 Å³/f.u.

Lattice parameters (Å, degrees): 11.3167 11.3167 3.4641 90.00 90.00 120.00
Last column: nearest neighbours and their distance in Å.
Space group P-62m (No. 189)
Unique sites:
Pr 0.0000 0.3382 0.0000 x3  2 Er 3.32, 2 Dy 3.40, 2 Pr 3.46
Pr 0.3333 0.6667 0.0000 x2  5 Pr 3.46-3.75, 6 Dy 3.86
Dy 0.0000 0.5966 0.5000 x3  2 Er 3.26, 2 Pr 3.40, 2 Dy 3.46
Er 0.0000 0.8409 0.0000 x3  4 Er 3.12-3.46, 2 Dy 3.26, 2 Pr 3.32

---

19.
VASP calculation (PBE) on an optimized crystal structure of Zn4SiW.

E_tot: -3.46 eV per atom
Calculated volume: 87.61 Å³/f.u.

Lattice parameters (Å, degrees): 7.0502 7.0502 7.0502 90.00 90.00 90.00
Last column: nearest neighbours and their distance in Å.
Space group F-43m (No. 216)
Unique sites:
Zn 0.1241 0.1241 0.3759 x16  6 Zn 2.48-2.51
Si 0.0000 0.0000 0.0000 x4  12 Zn 2.92, 4 W 3.05
W 0.2500 0.2500 0.7500 x4  12 Zn 2.92, 4 Si 3.05

---

20.
VASP calculation (PBE) on an optimized crystal structure of BiPdRu3.

Formation energy: 1.698 eV per atom
Calculated volume: 109.11 Å³/f.u.
Polymorph energy (0 for the lowest one): 0 meV/atom

Lattice parameters (Å, degrees): 4.7784 4.7784 4.7784 90.00 90.00 90.00
Last column: nearest neighbours and their distance in Å.
Space group Pm-3m (No. 221)
Unique sites:
Bi 0.0000 0.0000 0.0000 x1  12 Ru 3.38
Pd 0.5000 0.5000 0.5000 x1  6 Ru 2.39
Ru 0.0000 0.5000 0.5000 x3  2 Pd 2.39

---

21.
VASP calculation (PBE) on an optimized crystal structure of CrInW2Se.

E_tot: -5.54 eV per atom
Calculated volume: 114.56 Å³/f.u.

Lattice parameters (Å, degrees): 4.9483 4.9483 4.6787 90.00 90.00 90.00
Last column: nearest neighbours and their distance in Å.
Space group P4/mmm (No. 123)
Unique sites:
Cr 0.0000 0.0000 0.0000 x1  2 In 2.34
In 0.0000 0.0000 0.5000 x1  2 Cr 2.34, 4 W 2.47
W 0.0000 0.5000 0.5000 x2  2 In 2.47
Se 0.5000 0.5000 0.0000 x1  8 W 3.41, 4 Cr 3.50

---

22.
VASP calculation (PBE) on an optimized crystal structure of Tm5InAg.

Formation energy: -0.050 eV per atom
Calculated volume: 192.21 Å³/f.u.

Lattice parameters (Å, degrees): 8.3931 8.0882 11.7438 90.00 105.33 90.00
Last column: nearest neighbours and their distance in Å.
Space group C2/c (No. 15)
Unique sites:
Tm 0.0000 0.0138 0.2500 x4  2 Ag 2.94, 1 In 3.10, 4 Tm 3.27
Tm 0.1300 0.3600 0.5611 x8  1 Ag 3.13, 5 Tm 3.21-3.48, 1 In 3.35
Tm 0.2328 0.3007 0.8653 x8  1 Ag 2.87, 1 In 3.20, 1 Tm 3.21
In 0.0000 0.3972 0.2500 x4  7 Tm 3.10-3.35
Ag 0.0000 0.0000 0.0000 x4  6 Tm 2.87-3.13

---

23.
VASP calculation (PBE) on an optimized crystal structure of ZrZnRu2.

Formation energy: 0.201 eV per atom
Calculated volume: 70.94 Å³/f.u.

Lattice parameters (Å, degrees): 4.0082 4.0082 17.6615 90.00 90.00 90.00
Last column: nearest neighbours and their distance in Å.
Space group I-42d (No. 122)
Unique sites:
Zr 0.0000 0.0000 0.0000 x4  4 Ru 2.74, 4 Zn 2.83
Zn 0.0000 0.0000 0.5000 x4  4 Ru 2.53, 4 Zr 2.83
Ru 0.1812 0.2500 0.6250 x8  2 Ru 2.48, 2 Zn 2.53, 2 Zr 2.74